# Sm4GePI2

A geometry-optimized Sm4GePI2 structure (PBE-GGA, Alexandria via LeMat-Bulk).

- uncorrected formation energy (eV per atom) = -1.18
- E (eV per atom) = -5.18
- space group = No. 10

a b c (Å): 4.2412 7.3422 7.9929
angles (deg): 107.88 90.00 90.00
Positions (direct):
Sm1 0.5000 0.7617 0.8066
Sm2 0.0000 0.2768 0.8103
Sm3 0.0000 0.7232 0.1897
Sm4 0.5000 0.2383 0.1934
Ge1 0.0000 0.0000 0.0000
P1 0.5000 0.5000 0.0000
I1 0.0000 0.5000 0.5000
I2 0.5000 0.0000 0.5000



# KP2

A geometry-optimized KP2 structure (PBE-GGA, Alexandria via LeMat-Bulk).

- formation energy from the elements (eV/atom) = -0.048
- E (eV per atom) = -4.02
- space group = No. 62

a b c (Å): 6.5146 6.6051 8.3704
angles (deg): 90.00 90.00 90.00
Positions (direct):
K1 0.2500 0.2069 0.0009
K2 0.7500 0.7931 0.9991
K3 0.2500 0.7069 0.4991
K4 0.7500 0.2931 0.5009
P1 0.7500 0.8008 0.3806
P2 0.7500 0.3000 0.8824
P3 0.2500 0.1992 0.6194
P4 0.2500 0.6992 0.8806
P5 0.7500 0.8000 0.6176
P6 0.2500 0.2000 0.3824
P7 0.7500 0.3008 0.1194
P8 0.2500 0.7000 0.1176



# LaSi2SeI

A geometry-optimized LaSi2SeI structure (PBE-GGA, Alexandria via LeMat-Bulk).

- uncorrected formation energy (eV per atom) = 0.33
- E (eV per atom) = -3.83
- space group = No. 123

a b c (Å): 5.0082 5.5186 5.0082
angles (deg): 90.00 90.00 90.00
Positions (direct):
La1 0.5000 0.5000 0.5000
Si1 0.5000 0.0000 0.0000
Si2 0.0000 0.0000 0.5000
I1 0.0000 0.5000 0.0000
Se1 0.0000 0.0000 0.0000



# KInOs2

A geometry-optimized KInOs2 structure (PBE-GGA, Alexandria via LeMat-Bulk).

- formation energy from the elements (eV/atom) = 1.160
- E (eV per atom) = -5.41
- space group = No. 122

a b c (Å): 4.4427 4.4427 10.4211
angles (deg): 77.69 77.69 90.00
Positions (direct):
Os1 0.7622 0.1250 0.2500
Os2 0.8750 0.0122 0.7500
Os3 0.3750 0.2378 0.7500
Os4 0.9878 0.6250 0.2500
In1 0.7500 0.2500 0.5000
In2 0.0000 0.0000 0.0000
K1 0.2500 0.7500 0.5000
K2 0.5000 0.5000 0.0000



# CeSm2DyPt2

A geometry-optimized CeSm2DyPt2 structure (PBE-GGA, Alexandria via LeMat-Bulk).

- formation energy from the elements (eV/atom) = -0.748
- E (eV per atom) = -6.09
- space group = No. 72

a b c (Å): 6.6947 6.7493 8.6330
angles (deg): 113.01 112.81 90.00
Site moments in Bohr magnetons follow the coordinates.
Positions (direct):
Sm1 0.1893 0.4210 0.3785  0.01
Sm2 0.3107 0.0424 0.6215  0.01
Sm3 0.6893 0.9576 0.3785  0.01
Sm4 0.8107 0.5790 0.6215  0.01
Dy1 0.2500 0.5000 0.0000  0.01
Dy2 0.7500 0.5000 0.0000  0.01
Pt1 0.6173 0.3622 0.2346  0.00
Pt2 0.1173 0.8725 0.2346  0.00
Pt3 0.3827 0.6378 0.7654  0.00
Pt4 0.8827 0.1275 0.7654  0.00
Ce1 0.7500 0.0000 0.0000  0.39
Ce2 0.2500 0.0000 0.0000  0.39